## RuRhAu2 (GGA-PBE)

Data for a geometry-optimized RuRhAu2 structure.

Lattice parameters (Å, degrees): 4.8484 4.8484 4.9527 80.24 80.24 33.97
With the nearest neighbours (Å) after each atom.
Atoms (fractional coordinates):
Ru 0.2433 0.2433 0.2770  3 Rh 2.64-2.79, 7 Au 2.77-2.94, 2 Ru 2.83
Rh 0.5076 0.5076 0.4721  3 Ru 2.64-2.79, 7 Au 2.77-2.94, 2 Rh 2.83
Au 0.9961 0.9961 0.9961  5 Au 2.73-2.85, 4 Rh 2.77-2.94, 3 Ru 2.88
Au 0.7529 0.7529 0.7548  5 Au 2.73-2.85, 4 Ru 2.77-2.94, 3 Rh 2.88-2.89

The formation energy is 282 meV/atom. The relative energy among the computed polymorphs is 0.134 eV/atom. The symmetry is Cm (8).

***

## TcRu3F (GGA-PBE)

Data for a geometry-optimized TcRu3F structure.

Lattice parameters (Å, degrees): 4.6847 4.6847 4.6847 90.00 90.00 90.00
With the nearest neighbours (Å) after each atom.
Atoms (fractional coordinates):
Ru 0.0000 0.0000 0.5000  2 Tc 2.34
Ru 0.5000 0.0000 0.0000  2 Tc 2.34
Ru 0.0000 0.5000 0.0000  2 Tc 2.34
F 0.5000 0.5000 0.5000  12 Ru 3.31
Tc 0.0000 0.0000 0.0000  6 Ru 2.34

The relative energy among the computed polymorphs is 0.563 eV/atom. The symmetry is Pm-3m (221).

***

## LiTi2TlCo (GGA-PBE)

Data for a geometry-optimized LiTi2TlCo structure.

Lattice parameters (Å, degrees): 5.0774 4.4400 5.0774 90.00 90.00 90.00
With the nearest neighbours (Å) after each atom.
Atoms (fractional coordinates):
Li 0.0000 0.5000 0.0000  2 Tl 2.22
Tl 0.0000 0.0000 0.0000  2 Li 2.22
Ti 0.5000 0.0000 0.0000  2 Tl 2.54
Ti 0.0000 0.0000 0.5000  2 Tl 2.54
Co 0.5000 0.5000 0.5000  8 Ti 3.37, 4 Li 3.59

The formation energy is 1444 meV/atom. The symmetry is P4/mmm (123).

***

## CsSc2SnPt (GGA-PBE)

Data for a geometry-optimized CsSc2SnPt structure.

Lattice parameters (Å, degrees): 5.5565 5.2203 5.5565 90.00 90.00 90.00
With the nearest neighbours (Å) after each atom.
Atoms (fractional coordinates):
Cs 0.5000 0.5000 0.5000  8 Sc 3.81, 4 Pt 3.93
Sc 0.5000 0.0000 0.0000  2 Sn 2.78
Sc 0.0000 0.0000 0.5000  2 Sn 2.78
Pt 0.0000 0.5000 0.0000  2 Sn 2.61
Sn 0.0000 0.0000 0.0000  2 Pt 2.61, 4 Sc 2.78

The formation energy is 390 meV/atom. The symmetry is P4/mmm (123).